Record 1
Compound: ErInNi5
Source: Alexandria via LeMat-Bulk
Functional: GGA-PBE
Structure: relaxed

Cell: 8.0532 4.8234 10.2969 Å, 90.00 90.00 90.00°
Fractional positions:
Er 0.2481 0.2500 0.0612
Er 0.2519 0.7500 0.5612
Er 0.7481 0.2500 0.4388
Er 0.7519 0.7500 0.9388
In 0.1373 0.2500 0.3632
In 0.3627 0.7500 0.8632
In 0.6373 0.2500 0.1368
In 0.8627 0.7500 0.6368
Ni 0.0463 0.2500 0.6046
Ni 0.0666 0.5010 0.8110
Ni 0.0666 0.9990 0.8110
Ni 0.0835 0.7500 0.0167
Ni 0.1893 0.7500 0.2405
Ni 0.3107 0.2500 0.7405
Ni 0.4165 0.2500 0.5167
Ni 0.4334 0.0010 0.3110
Ni 0.4334 0.4990 0.3110
Ni 0.4537 0.7500 0.1046
Ni 0.5463 0.2500 0.8954
Ni 0.5666 0.5010 0.6890
Ni 0.5666 0.9990 0.6890
Ni 0.5835 0.7500 0.4833
Ni 0.6893 0.7500 0.2595
Ni 0.8107 0.2500 0.7595
Ni 0.9165 0.2500 0.9833
Ni 0.9334 0.0010 0.1890
Ni 0.9334 0.4990 0.1890
Ni 0.9537 0.7500 0.3954

Calculated values
- Crystal system: orthorhombic
- Energy relative to the elements: -0.334 eV/atom
- ρ: 9558 kg/m3
- Size of the total moment: 0.0 μB/f.u.

---

Record 2
Compound: ScVH2
Source: Alexandria via LeMat-Bulk
Functional: GGA-PBE
Structure: relaxed

Cell: 3.8215 3.8215 3.8215 Å, 60.00 60.00 60.00°
Fractional positions:
Sc 0.0000 0.0000 0.0000
V 0.5000 0.5000 0.5000
H 0.2500 0.2500 0.2500
H 0.7500 0.7500 0.7500

Calculated values
- Crystal system: cubic
- Total energy: -20.71 eV per cell
- ρ: 4120 kg/m3
- Size of the total moment: 0.9 μB/f.u.

---

Record 3
Compound: Pm7Dy2Sc2
Source: Alexandria via LeMat-Bulk
Functional: GGA-PBE
Structure: relaxed

Cell: 7.9436 7.9436 6.0883 Å, 104.63 104.63 92.97°
Fractional positions:
Pm 0.0000 0.0000 0.0000
Pm 0.0592 0.5808 0.8093
Pm 0.4192 0.9408 0.1907
Pm 0.4208 0.4208 0.2040
Pm 0.5792 0.5792 0.7960
Pm 0.5808 0.0592 0.8093
Pm 0.9408 0.4192 0.1907
Dy 0.2124 0.2124 0.5819
Dy 0.7876 0.7876 0.4181
Sc 0.2242 0.7758 0.5000
Sc 0.7758 0.2242 0.5000

Calculated values
- Crystal system: monoclinic
- Energy relative to the elements: 0.149 eV/atom
- ρ: 6653 kg/m3
- Size of the total moment: 0.0 μB/f.u.

---

Record 4
Compound: HfMn2Ir2
Source: Alexandria via LeMat-Bulk
Functional: GGA-PBE
Structure: relaxed

Cell: 5.5841 5.5841 5.5841 Å, 138.47 138.47 60.19°
Fractional positions:
Hf 0.0000 0.0000 0.0000
Mn 0.4017 0.4017 0.0000
Mn 0.5983 0.5983 0.0000
Ir 0.2500 0.7500 0.5000
Ir 0.7500 0.2500 0.5000

Calculated values
- Crystal system: tetragonal
- Energy relative to the elements: -0.274 eV/atom
- ρ: 14747 kg/m3
- Size of the total moment: 0.0 μB/f.u.

---

Record 5
Compound: HoNbCo4
Source: Alexandria via LeMat-Bulk
Functional: GGA-PBE
Structure: relaxed

Cell: 4.8928 4.8928 4.8928 Å, 60.00 60.00 60.00°
Fractional positions:
Ho 0.0000 0.0000 0.0000
Nb 0.2500 0.2500 0.2500
Co 0.1241 0.6253 0.6253
Co 0.6253 0.1241 0.6253
Co 0.6253 0.6253 0.1241
Co 0.6253 0.6253 0.6253

Calculated values
- Crystal system: cubic
- Energy relative to the elements: -0.111 eV/atom
- ρ: 9896 kg/m3
- Size of the total moment: 1.9 μB/f.u.

---

Record 6
Compound: AgSnTeN2
Source: Alexandria via LeMat-Bulk
Functional: GGA-PBE
Structure: relaxed

Cell: 4.3499 4.3499 5.7559 Å, 90.00 90.00 90.00°
Fractional positions:
Ag 0.0000 0.0000 0.0000
Sn 0.5000 0.5000 0.5000
Te 0.0000 0.0000 0.5000
N 0.0000 0.5000 0.0000
N 0.5000 0.0000 0.0000

Calculated values
- Crystal system: tetragonal
- ρ: 5827 kg/m3
- E_form (uncorrected): 1.60 eV/atom
- Size of the total moment: 3.4 μB/f.u.